(1)
Ta2B2Os at its PBEsol-relaxed geometry, computed with SCAN.

a b c (Å): 5.864 5.864 6.836
angles (deg): 90.00 90.00 90.00
Element x y z (fractional)
1 Ta 0.664 0.814 0.500
2 Ta 0.336 0.186 0.500
3 Ta 0.836 0.314 0.000
4 Ta 0.164 0.686 0.000
5 Ta 0.814 0.336 0.500
6 Ta 0.186 0.664 0.500
7 Ta 0.314 0.164 0.000
8 Ta 0.686 0.836 0.000
9 B 0.385 0.885 0.250
10 B 0.615 0.115 0.250
11 B 0.115 0.385 0.750
12 B 0.885 0.615 0.750
13 B 0.885 0.615 0.250
14 B 0.115 0.385 0.250
15 B 0.385 0.885 0.750
16 B 0.615 0.115 0.750
17 Os 0.500 0.500 0.221
18 Os 0.000 0.000 0.721
19 Os 0.500 0.500 0.779
20 Os 0.000 0.000 0.279

Values from the calculation:
DFT total energy	-893.3	eV for the cell shown
calculated formation energy	-0.683	eV/atom
energy above the lowest structure with this stoichiometry	0.00	eV/f.u.

(2)
K2TlAu at its PBEsol-relaxed geometry, computed with SCAN.

a b c (Å): 4.968 4.732 6.570
angles (deg): 90.00 112.22 90.00
Element x y z (fractional)
1 Tl 0.809 0.000 0.618
2 Au 0.690 0.500 0.381
3 K 0.105 0.000 0.210
4 K 0.402 0.500 0.805

Values from the calculation:
DFT total energy	-159.3	eV for the cell shown
calculated formation energy	-0.280	eV/atom

(3)
Li5Cu at its PBEsol-relaxed geometry, computed with SCAN.

a b c (Å): 2.746 4.608 7.740
angles (deg): 90.00 100.22 90.00
Element x y z (fractional)
1 Cu 0.005 0.000 0.010
2 Li 0.354 0.000 0.707
3 Li 0.657 0.000 0.315
4 Li 0.448 0.500 0.897
5 Li 0.771 0.500 0.543
6 Li 0.098 0.500 0.196

Values from the calculation:
DFT total energy	-26.9	eV for the cell shown
calculated formation energy	0.034	eV/atom
energy above the lowest structure with this stoichiometry	0.10	eV/f.u.

(4)
MgCrCd3 at its PBEsol-relaxed geometry, computed with SCAN.

a b c (Å): 5.145 5.145 5.145
angles (deg): 90.00 90.00 90.00
Element x y z (fractional)
1 Cr 0.000 0.000 0.000
2 Mg 0.500 0.500 0.500
3 Cd 0.000 0.500 0.000
4 Cd 0.000 0.000 0.500
5 Cd 0.500 0.000 0.000

Values from the calculation:
DFT total energy	-111.8	eV for the cell shown
calculated formation energy	0.553	eV/atom